Ba2PmHg: relaxed, PBE.

abc: 4.084 4.084 10.030
angles: 90.00 90.00 90.00
Space group P4/mmm (No. 123)
Symmetry-distinct sites (fractional):
Ba 0.000 0.000 0.213 x2
Pm 0.500 0.500 0.500 x1
Hg 0.500 0.500 0.000 x1

Its density of states at the Fermi level is 5.90 states/eV/cell. Its volume is 167.3 Å³/f.u. For the formation energy, the calculation gives -0.10 eV/atom. Its energy relative to the lowest polymorph listed for this composition is 0 meV per atom.